--- P ---
This record from the Alexandria database describes a relaxed ZnMoPCl2 crystal. The functional is PBE-GGA.

The structure in POSCAR format:
```
ZnMoPCl2
1.0
4.877 0.000 0.000
0.000 4.877 0.000
0.000 0.000 4.748
Zn Mo P Cl
1 1 1 2
Direct
0.000 0.000 0.000
0.500 0.500 0.500
0.500 0.500 0.000
0.000 0.500 0.500
0.500 0.000 0.500
```

Properties
Calculated volume ... 22.588 Å³/atom
Size of the total moment ... 0.115 μB per atom

--- Q ---
This record from the Alexandria database describes a relaxed ZnMoPCl2 crystal. The functional is PBE-GGA.

The structure in POSCAR format:
```
ZnMoPCl2
1.0
4.671 0.000 0.000
0.000 4.671 0.000
0.000 0.000 5.019
Zn Mo P Cl
1 1 1 2
Direct
0.000 0.000 0.000
0.500 0.500 0.500
0.000 0.000 0.500
0.000 0.500 0.000
0.500 0.000 0.000
```

Properties
Calculated volume ... 21.905 Å³/atom
Size of the total moment ... 0.619 μB per atom

The structure with the least stability is Q.

--- P ---
This record from the Alexandria database describes a relaxed ZrMoPCl2 crystal. The functional is PBE-GGA.

The structure in POSCAR format:
```
ZrMoPCl2
1.0
4.920 0.000 0.000
0.000 4.920 0.000
0.000 0.000 5.256
Zr Mo P Cl
1 1 1 2
Direct
0.000 0.000 0.000
0.500 0.500 0.500
0.000 0.000 0.500
0.000 0.500 0.000
0.500 0.000 0.000
```

Properties
Calculated volume ... 25.442 Å³/atom
Size of the total moment ... 0.924 μB per atom

--- Q ---
This record from the Alexandria database describes a relaxed ZrMoPCl2 crystal. The functional is PBE-GGA.

The structure in POSCAR format:
```
ZrMoPCl2
1.0
4.660 0.000 0.000
0.000 4.660 0.000
0.000 0.000 4.901
Zr Mo P Cl
1 1 1 2
Direct
0.000 0.000 0.000
0.500 0.500 0.500
0.500 0.500 0.000
0.000 0.500 0.500
0.500 0.000 0.500
```

Properties
Calculated volume ... 21.286 Å³/atom
Size of the total moment ... 0.307 μB per atom

The structure with the least stability is Q.

--- P ---
This record from the Alexandria database describes a relaxed MoPbCl3 crystal. The functional is PBE-GGA.

The structure in POSCAR format:
```
MoPbCl3
1.0
5.057 0.000 0.000
0.000 5.057 0.000
0.000 0.000 5.057
Mo Pb Cl
1 1 3
Direct
0.000 0.000 0.000
0.500 0.500 0.500
0.000 0.000 0.500
0.000 0.500 0.000
0.500 0.000 0.000
```

Properties
Calculated volume ... 25.867 Å³/atom
Size of the total moment ... 0.673 μB per atom

--- Q ---
This record from the Alexandria database describes a relaxed MoPbCl3 crystal. The functional is PBE-GGA.

The structure in POSCAR format:
```
MoPbCl3
1.0
5.612 0.000 0.000
0.000 5.612 0.000
0.000 0.000 5.612
Mo Pb Cl
1 1 3
Direct
0.000 0.000 0.000
0.500 0.500 0.500
0.000 0.500 0.500
0.500 0.000 0.500
0.500 0.500 0.000
```

Properties
Calculated volume ... 35.355 Å³/atom
Size of the total moment ... 1.000 μB per atom

The structure with the least stability is Q.

--- P ---
This record from the Alexandria database describes a relaxed MoPdCl3 crystal. The functional is PBE-GGA.

The structure in POSCAR format:
```
MoPdCl3
1.0
4.949 0.000 0.000
0.000 4.949 0.000
0.000 0.000 4.949
Mo Pd Cl
1 1 3
Direct
0.000 0.000 0.000
0.500 0.500 0.500
0.000 0.000 0.500
0.000 0.500 0.000
0.500 0.000 0.000
```

Properties
Calculated volume ... 24.249 Å³/atom
Size of the total moment ... 0.600 μB per atom

--- Q ---
This record from the Alexandria database describes a relaxed MoPdCl3 crystal. The functional is PBE-GGA.

The structure in POSCAR format:
```
MoPdCl3
1.0
4.893 0.000 0.000
0.000 4.893 0.000
0.000 0.000 4.893
Mo Pd Cl
1 1 3
Direct
0.000 0.000 0.000
0.500 0.500 0.500
0.000 0.500 0.500
0.500 0.000 0.500
0.500 0.500 0.000
```

Properties
Calculated volume ... 23.425 Å³/atom
Size of the total moment ... 0.935 μB per atom

The structure with the least stability is Q.

--- P ---
This record from the Alexandria database describes a relaxed MoPd3Cl crystal. The functional is PBE-GGA.

The structure in POSCAR format:
```
MoPd3Cl
1.0
4.843 0.000 0.000
0.000 4.843 0.000
0.000 0.000 4.843
Mo Pd Cl
1 3 1
Direct
0.000 0.000 0.000
0.000 0.000 0.500
0.000 0.500 0.000
0.500 0.000 0.000
0.500 0.500 0.500
```

Properties
Calculated volume ... 22.717 Å³/atom
Size of the total moment ... 0.000 μB per atom

--- Q ---
This record from the Alexandria database describes a relaxed MoPd3Cl crystal. The functional is PBE-GGA.

The structure in POSCAR format:
```
MoPd3Cl
1.0
4.551 0.000 0.000
0.000 4.551 0.000
0.000 0.000 4.551
Mo Pd Cl
1 3 1
Direct
0.000 0.000 0.000
0.000 0.500 0.500
0.500 0.000 0.500
0.500 0.500 0.000
0.500 0.500 0.500
```

Properties
Calculated volume ... 18.846 Å³/atom
Size of the total moment ... 0.950 μB per atom

The structure with the least stability is P.

--- P ---
This record from the Alexandria database describes a relaxed Mo3PdCl crystal. The functional is PBE-GGA.

The structure in POSCAR format:
```
Mo3PdCl
1.0
4.385 0.000 0.000
0.000 4.385 0.000
0.000 0.000 4.385
Mo Pd Cl
3 1 1
Direct
0.000 0.000 0.500
0.000 0.500 0.000
0.500 0.000 0.000
0.500 0.500 0.500
0.000 0.000 0.000
```

Properties
Calculated volume ... 16.864 Å³/atom
Size of the total moment ... 0.000 μB per atom

--- Q ---
This record from the Alexandria database describes a relaxed Mo3PdCl crystal. The functional is PBE-GGA.

The structure in POSCAR format:
```
Mo3PdCl
1.0
4.849 0.000 0.000
0.000 4.849 0.000
0.000 0.000 4.849
Mo Pd Cl
3 1 1
Direct
0.000 0.000 0.500
0.000 0.500 0.000
0.500 0.000 0.000
0.000 0.000 0.000
0.500 0.500 0.500
```

Properties
Calculated volume ... 22.797 Å³/atom
Size of the total moment ... 0.680 μB per atom

The structure with the least stability is Q.

--- P ---
This record from the Alexandria database describes a relaxed Mo2PdCl2 crystal. The functional is PBE-GGA.

The structure in POSCAR format:
```
Mo2PdCl2
1.0
-2.123 2.123 4.766
2.123 -2.123 4.766
2.123 2.123 -4.766
Mo Pd Cl
2 1 2
Direct
0.250 0.750 0.500
0.750 0.250 0.500
0.000 0.000 0.000
0.362 0.362 0.000
0.638 0.638 0.000
```

Properties
Calculated volume ... 17.179 Å³/atom
Size of the total moment ... 0.000 μB per atom

--- Q ---
This record from the Alexandria database describes a relaxed Mo2PdCl2 crystal. The functional is PBE-GGA.

The structure in POSCAR format:
```
Mo2PdCl2
1.0
7.447 0.000 0.000
0.000 7.447 0.000
0.000 0.000 2.802
Mo Pd Cl
4 2 4
Direct
0.175 0.325 0.000
0.325 0.825 0.000
0.675 0.175 0.000
0.825 0.675 0.000
0.000 0.000 0.500
0.500 0.500 0.500
0.132 0.632 0.500
0.368 0.132 0.500
0.632 0.868 0.500
0.868 0.368 0.500
```

Properties
Calculated volume ... 15.543 Å³/atom
Size of the total moment ... 0.000 μB per atom

The structure with the least stability is Q.

--- P ---
This record from the Alexandria database describes a relaxed MoPt2Cl crystal. The functional is PBE-GGA.

The structure in POSCAR format:
```
MoPt2Cl
1.0
2.640 -4.406 0.000
2.640 4.406 0.000
-0.017 0.000 2.790
Mo Pt Cl
1 2 1
Direct
0.000 0.000 0.000
0.000 0.500 0.500
0.500 0.000 0.500
0.500 0.500 0.000
```

Properties
Calculated volume ... 16.226 Å³/atom
Size of the total moment ... 0.000 μB per atom

--- Q ---
This record from the Alexandria database describes a relaxed MoPt2Cl crystal. The functional is PBE-GGA.

The structure in POSCAR format:
```
MoPt2Cl
1.0
-1.970 1.970 4.192
1.970 -1.970 4.192
1.970 1.970 -4.192
Mo Pt Cl
1 2 1
Direct
0.000 0.000 0.000
0.250 0.750 0.500
0.750 0.250 0.500
0.500 0.500 0.000
```

Properties
Calculated volume ... 16.276 Å³/atom
Size of the total moment ... 0.258 μB per atom

--- R ---
This record from the Alexandria database describes a relaxed MoPt2Cl crystal. The functional is PBE-GGA.

The structure in POSCAR format:
```
MoPt2Cl
1.0
1.438 0.830 9.582
-1.438 0.830 9.582
0.000 -1.661 9.582
Mo Pt Cl
1 2 1
Direct
0.000 0.000 0.000
0.489 0.489 0.489
0.741 0.741 0.741
0.269 0.269 0.269
```

Properties
Calculated volume ... 17.160 Å³/atom
Size of the total moment ... 0.000 μB per atom

The structure with the least stability is Q.

--- P ---
This record from the Alexandria database describes a relaxed MoPtCl crystal. The functional is PBE-GGA.

The structure in POSCAR format:
```
MoPtCl
1.0
-1.466 1.466 6.631
1.466 -1.466 6.631
1.466 1.466 -6.631
Mo Pt Cl
1 1 1
Direct
0.000 0.000 0.000
0.626 0.626 0.000
0.377 0.377 0.000
```

Properties
Calculated volume ... 19.005 Å³/atom
Size of the total moment ... 0.000 μB per atom

--- Q ---
This record from the Alexandria database describes a relaxed MoPtCl crystal. The functional is PBE-GGA.

The structure in POSCAR format:
```
MoPtCl
1.0
0.000 3.031 3.031
3.031 0.000 3.031
3.031 3.031 0.000
Mo Pt Cl
1 1 1
Direct
0.000 0.000 0.000
0.250 0.250 0.250
0.750 0.750 0.750
```

Properties
Calculated volume ... 18.566 Å³/atom
Size of the total moment ... 0.170 μB per atom

--- R ---
This record from the Alexandria database describes a relaxed MoPtCl crystal. The functional is PBE-GGA.

The structure in POSCAR format:
```
MoPtCl
1.0
2.940 0.000 0.000
-1.470 2.546 0.000
0.000 0.000 6.833
Mo Pt Cl
1 1 1
Direct
0.000 0.000 0.000
0.667 0.333 0.311
0.333 0.667 0.734
```

Properties
Calculated volume ... 17.046 Å³/atom
Size of the total moment ... 0.000 μB per atom

The structure with the least stability is Q.

--- P ---
This record from the Alexandria database describes a relaxed MoPtCl crystal. The functional is PBE-GGA.

The structure in POSCAR format:
```
MoPtCl
1.0
0.000 3.132 3.132
3.132 0.000 3.132
3.132 3.132 0.000
Mo Pt Cl
1 1 1
Direct
0.000 0.000 0.000
0.750 0.750 0.750
0.500 0.500 0.500
```

Properties
Calculated volume ... 20.476 Å³/atom
Size of the total moment ... 0.715 μB per atom

--- Q ---
This record from the Alexandria database describes a relaxed MoPtCl crystal. The functional is PBE-GGA.

The structure in POSCAR format:
```
MoPtCl
1.0
0.000 2.559 7.326
1.444 0.000 7.326
1.444 2.559 0.000
Mo Pt Cl
1 1 1
Direct
0.000 0.000 0.000
0.652 0.652 0.348
0.365 0.365 0.635
```

Properties
Calculated volume ... 18.048 Å³/atom
Size of the total moment ... 0.167 μB per atom

--- R ---
This record from the Alexandria database describes a relaxed MoPtCl crystal. The functional is PBE-GGA.

The structure in POSCAR format:
```
MoPtCl
1.0
4.115 0.000 0.000
-2.058 3.564 0.000
0.000 0.000 3.277
Mo Pt Cl
1 1 1
Direct
0.000 0.000 0.000
0.667 0.333 0.452
0.333 0.667 0.867
```

Properties
Calculated volume ... 16.021 Å³/atom
Size of the total moment ... 0.000 μB per atom

The structure with the least stability is P.

--- P ---
This record from the Alexandria database describes a relaxed MoPtSCl2 crystal. The functional is PBE-GGA.

The structure in POSCAR format:
```
MoPtSCl2
1.0
4.819 0.000 0.000
0.000 4.819 0.000
0.000 0.000 4.830
Mo Pt S Cl
1 1 1 2
Direct
0.000 0.000 0.000
0.500 0.500 0.500
0.500 0.500 0.000
0.000 0.500 0.500
0.500 0.000 0.500
```

Properties
Calculated volume ... 22.436 Å³/atom
Size of the total moment ... 0.821 μB per atom

--- Q ---
This record from the Alexandria database describes a relaxed MoPtSCl2 crystal. The functional is PBE-GGA.

The structure in POSCAR format:
```
MoPtSCl2
1.0
4.761 0.000 0.000
0.000 4.761 0.000
0.000 0.000 4.672
Mo Pt S Cl
1 1 1 2
Direct
0.000 0.000 0.000
0.500 0.500 0.500
0.000 0.000 0.500
0.000 0.500 0.000
0.500 0.000 0.000
```

Properties
Calculated volume ... 21.179 Å³/atom
Size of the total moment ... 0.122 μB per atom

The structure with the least stability is P.

--- P ---
This record from the Alexandria database describes a relaxed MoPtS2Cl crystal. The functional is PBE-GGA.

The structure in POSCAR format:
```
MoPtS2Cl
1.0
4.754 0.000 0.000
0.000 4.754 0.000
0.000 0.000 4.731
Mo Pt S Cl
1 1 2 1
Direct
0.000 0.000 0.000
0.500 0.500 0.500
0.000 0.500 0.500
0.500 0.000 0.500
0.500 0.500 0.000
```

Properties
Calculated volume ... 21.382 Å³/atom
Size of the total moment ... 0.698 μB per atom

--- Q ---
This record from the Alexandria database describes a relaxed MoPtS2Cl crystal. The functional is PBE-GGA.

The structure in POSCAR format:
```
MoPtS2Cl
1.0
4.683 0.000 0.000
0.000 4.683 0.000
0.000 0.000 4.652
Mo Pt S Cl
1 1 2 1
Direct
0.000 0.000 0.000
0.500 0.500 0.500
0.000 0.500 0.000
0.500 0.000 0.000
0.000 0.000 0.500
```

Properties
Calculated volume ... 20.401 Å³/atom
Size of the total moment ... 0.000 μB per atom

The structure with the least stability is P.